Compound: DyMnSb2
Source: the Alexandria database
Functional: PBE
Structure: relaxed

Geometry as POSCAR:
```
DyMnSb2
1.0
3.5141 0.0000 0.0000
1.7570 3.0433 0.0000
1.7570 1.0144 9.7996
Sb Mn Dy
2 1 1
Direct
0.1059 0.1059 0.6824
0.8941 0.8941 0.3176
0.5000 0.5000 0.5000
0.0000 0.0000 0.0000
```

## Properties
Uncorrected formation energy, eV/atom: 0.058
Mass density, g cm⁻³: 7.3